# 1
DyTmZnSn | PBE-GGA | optimized geometry

a b c (Å): 5.1503 5.1503 5.1503
angles (deg): 60.00 60.00 60.00
Last column: nearest neighbours and their distance in Å.
Fractional positions:
1 Dy 0.0000 0.0000 0.0000  4 Sn 3.15, 4 Zn 3.15
2 Tm 0.5000 0.5000 0.5000  4 Sn 3.15, 4 Zn 3.15
3 Zn 0.7500 0.7500 0.7500  4 Dy 3.15, 4 Tm 3.15
4 Sn 0.2500 0.2500 0.2500  4 Dy 3.15, 4 Tm 3.15

ΔH_f (0 K) = -46.3 kJ/mol of atoms
theoretical density = 8.86 g cm⁻³
electronic total energy = -16.3 eV per formula unit
SG = F-43m (216)

=====

# 2
DyUSn6 | PBE-GGA | optimized geometry

a b c (Å): 4.6643 4.6643 9.3576
angles (deg): 90.00 90.00 90.00
Last column: nearest neighbours and their distance in Å.
Fractional positions:
1 Dy 0.0000 0.0000 0.0000  12 Sn 3.30-3.32
2 U 0.0000 0.0000 0.5000  12 Sn 3.28-3.30
3 Sn 0.0000 0.5000 0.2528  8 Sn 3.28-3.32, 2 U 3.28, 2 Dy 3.32
4 Sn 0.0000 0.5000 0.7472  8 Sn 3.28-3.32, 2 U 3.28, 2 Dy 3.32
5 Sn 0.5000 0.0000 0.2528  8 Sn 3.28-3.32, 2 U 3.28, 2 Dy 3.32
6 Sn 0.5000 0.0000 0.7472  8 Sn 3.28-3.32, 2 U 3.28, 2 Dy 3.32
7 Sn 0.5000 0.5000 0.0000  4 Dy 3.30, 8 Sn 3.32
8 Sn 0.5000 0.5000 0.5000  8 Sn 3.28, 4 U 3.30

ΔH_f (0 K) = -26.2 kJ/mol of atoms
theoretical density = 9.08 g cm⁻³
electronic total energy = -42.1 eV per formula unit
SG = P4/mmm (123)

=====

# 3
DyU2Sn9 | PBE-GGA | optimized geometry

a b c (Å): 4.6456 4.6456 14.0268
angles (deg): 90.00 90.00 90.00
Last column: nearest neighbours and their distance in Å.
Fractional positions:
1 Dy 0.0000 0.0000 0.0000  12 Sn 3.28-3.32
2 U 0.0000 0.0000 0.3367  12 Sn 3.26-3.30
3 U 0.0000 0.0000 0.6633  12 Sn 3.26-3.30
4 Sn 0.0000 0.5000 0.1695  8 Sn 3.28-3.32, 2 U 3.30, 2 Dy 3.32
5 Sn 0.0000 0.5000 0.5000  4 U 3.26, 8 Sn 3.28-3.29
6 Sn 0.0000 0.5000 0.8305  8 Sn 3.28-3.32, 2 U 3.30, 2 Dy 3.32
7 Sn 0.5000 0.0000 0.1695  8 Sn 3.28-3.32, 2 U 3.30, 2 Dy 3.32
8 Sn 0.5000 0.0000 0.5000  4 U 3.26, 8 Sn 3.28-3.29
9 Sn 0.5000 0.0000 0.8305  8 Sn 3.28-3.32, 2 U 3.30, 2 Dy 3.32
10 Sn 0.5000 0.5000 0.0000  4 Dy 3.28, 8 Sn 3.32
11 Sn 0.5000 0.5000 0.3343  8 Sn 3.28-3.29, 4 U 3.29
12 Sn 0.5000 0.5000 0.6657  8 Sn 3.28-3.29, 4 U 3.29

ΔH_f (0 K) = -21.6 kJ/mol of atoms
theoretical density = 9.36 g cm⁻³
electronic total energy = -65.9 eV per formula unit
SG = P4/mmm (123)